# 1
{"formula": "LaCd2Au10", "functional": "GGA-PBE", "state": "optimized geometry", "space_group": "Fmmm (69)", "formation_energy_ev_per_atom": -0.24, "n_ef_per_ev_fu": 3.583, "total_magnetization_mub_per_atom": 0.000, "lattice": [[5.697, 0.000, 0.000], [2.849, 7.072, 0.000], [2.849, 0.000, 6.566]], "species": ["La", "Au", "Au", "Au", "Cd", "Au", "Au", "Au", "Au", "Au", "Au", "Cd", "Au"], "frac_coords": [[0.000, 0.000, 0.000], [0.287, 0.213, 0.214], [0.656, 0.340, 0.349], [0.500, 0.787, 0.214], [0.500, 0.500, 0.000], [0.005, 0.340, 0.651], [0.344, 0.660, 0.651], [0.500, 0.000, 0.500], [0.713, 0.787, 0.786], [0.995, 0.660, 0.349], [0.500, 0.213, 0.786], [0.000, 0.500, 0.000], [0.000, 0.000, 0.500]]}

# 2
{"formula": "GaNi9Sn2", "functional": "GGA-PBE", "state": "optimized geometry", "space_group": "P4/mmm (123)", "formation_energy_ev_per_atom": -0.21, "n_ef_per_ev_fu": 11.960, "total_magnetization_mub_per_atom": 0.059, "lattice": [[-3.663, -0.030, -0.541], [-0.160, -3.474, 1.273], [-1.530, 3.789, 10.151]], "species": ["Ni", "Ni", "Ni", "Ni", "Ni", "Sn", "Ga", "Ni", "Ni", "Ni", "Ni", "Sn"], "frac_coords": [[0.500, 0.000, 0.156], [0.500, 0.500, 0.000], [0.000, 0.500, 0.500], [0.500, 0.500, 0.329], [0.500, 0.000, 0.500], [0.000, 0.000, 0.673], [0.000, 0.000, 0.000], [0.500, 0.000, 0.844], [0.000, 0.500, 0.156], [0.500, 0.500, 0.671], [0.000, 0.500, 0.844], [0.000, 0.000, 0.327]]}

# 3
{"formula": "PrNdDy2Ho2", "functional": "GGA-PBE", "state": "optimized geometry", "space_group": "Pnnm (58)", "formation_energy_ev_per_atom": 0.28, "n_ef_per_ev_fu": 9.714, "total_magnetization_mub_per_atom": 0.000, "lattice": [[-0.205, -1.608, 3.002], [4.101, -4.680, -2.228], [13.987, 9.404, 5.994]], "species": ["Ho", "Pr", "Dy", "Nd", "Ho", "Dy", "Dy", "Pr", "Ho", "Ho", "Nd", "Dy"], "frac_coords": [[0.500, 0.224, 0.650], [0.500, 0.500, 0.500], [0.000, 0.226, 0.815], [0.000, 0.000, 0.500], [0.000, 0.724, 0.850], [0.500, 0.726, 0.685], [0.000, 0.774, 0.185], [0.000, 0.000, 0.000], [0.500, 0.776, 0.350], [0.000, 0.276, 0.150], [0.500, 0.500, 0.000], [0.500, 0.274, 0.315]]}